(1)
Density functional theory data (PBE) for a geometry-optimized In5Os structure.

Lattice parameters (Å, degrees): 3.230 3.230 13.552 90.00 90.00 90.00
Atoms (fractional coordinates):
In 0.000 0.000 0.000
In 0.000 0.000 0.379
In 0.000 0.000 0.621
In 0.500 0.500 0.191
In 0.500 0.500 0.809
Os 0.500 0.500 0.500

## Properties
ΔH_f (0 K) = 23.1 kJ per mole of atoms

---

(2)
Density functional theory data (PBE) for a geometry-optimized GeSbO2 structure.

Lattice parameters (Å, degrees): 6.298 6.298 6.298 129.04 129.04 74.95
Atoms (fractional coordinates):
Ge 0.000 0.000 0.000
Ge 0.750 0.250 0.500
Sb 0.250 0.750 0.500
Sb 0.500 0.500 0.000
O 0.114 0.625 0.989
O 0.375 0.364 0.489
O 0.636 0.125 0.011
O 0.875 0.886 0.511

## Properties
uncorrected energy = -5.11 eV/atom

---

(3)
Density functional theory data (PBE) for a geometry-optimized LaTaHg structure.

Lattice parameters (Å, degrees): 5.074 5.074 5.074 60.00 60.00 60.00
Atoms (fractional coordinates):
La 0.000 0.000 0.000
Ta 0.250 0.250 0.250
Hg 0.750 0.750 0.750

## Properties
ΔH_f (0 K) = 117.3 kJ per mole of atoms

---

(4)
Density functional theory data (PBE) for a geometry-optimized Na4Pa3NiS8 structure.

Lattice parameters (Å, degrees): 7.894 7.894 8.195 119.37 119.37 57.06
Atoms (fractional coordinates):
Na 0.000 0.000 0.000
Na 0.000 0.500 0.000
Na 0.500 0.000 0.000
Na 0.500 0.500 0.000
Pa 0.000 0.000 0.500
Pa 0.000 0.500 0.500
Pa 0.500 0.000 0.500
Ni 0.500 0.500 0.500
S 0.238 0.238 0.251
S 0.240 0.240 0.736
S 0.259 0.719 0.709
S 0.281 0.741 0.291
S 0.719 0.259 0.709
S 0.741 0.281 0.291
S 0.760 0.760 0.264
S 0.762 0.762 0.749

## Properties
uncorrected energy = -5.80 eV/atom

---

(5)
Density functional theory data (PBE) for a geometry-optimized AlCdC2 structure.

Lattice parameters (Å, degrees): 4.080 4.080 4.080 60.00 60.00 60.00
Atoms (fractional coordinates):
Al 0.000 0.000 0.000
Cd 0.500 0.500 0.500
C 0.250 0.250 0.250
C 0.750 0.750 0.750

## Properties
ΔH_f (0 K) = 182.6 kJ per mole of atoms

---

(6)
Density functional theory data (PBE) for a geometry-optimized Pm3Sm2Y structure.

Lattice parameters (Å, degrees): 8.588 8.588 5.665 90.00 90.00 102.63
Atoms (fractional coordinates):
Pm 0.013 0.656 0.250
Pm 0.064 0.936 0.750
Pm 0.344 0.987 0.250
Pm 0.656 0.013 0.750
Pm 0.936 0.064 0.250
Pm 0.987 0.344 0.750
Sm 0.272 0.397 0.250
Sm 0.397 0.272 0.750
Sm 0.603 0.728 0.250
Sm 0.728 0.603 0.750
Y 0.323 0.677 0.750
Y 0.677 0.323 0.250

## Properties
ΔH_f (0 K) = 4.4 kJ per mole of atoms

---

(7)
Density functional theory data (PBE) for a geometry-optimized SrMo2Au structure.

Lattice parameters (Å, degrees): 3.316 3.316 7.784 90.00 90.00 90.00
Atoms (fractional coordinates):
Sr 0.000 0.000 0.000
Mo 0.000 0.000 0.523
Mo 0.500 0.500 0.671
Au 0.500 0.500 0.289

## Properties
ΔH_f (0 K) = 26.7 kJ per mole of atoms

---

(8)
Density functional theory data (PBE) for a geometry-optimized Dy4Zn2Rh structure.

Lattice parameters (Å, degrees): 6.066 6.066 4.883 90.00 90.00 108.86
Atoms (fractional coordinates):
Dy 0.000 0.500 0.500
Dy 0.244 0.244 0.000
Dy 0.500 0.000 0.500
Dy 0.756 0.756 0.000
Zn 0.251 0.749 0.000
Zn 0.749 0.251 0.000
Rh 0.000 0.000 0.500

## Properties
ΔH_f (0 K) = -36.7 kJ per mole of atoms

---

Number 5 is which compound?
AlCdC2

---

Which formula does entry 3 have?
LaTaHg